Material: Sr2Nb2O5
Method: DFT, PBE-GGA
State: optimized geometry

Cell and atoms, written as extended XYZ:
```
9
Lattice="10.752 0.000 0.000 0.000 3.547 0.000 0.000 0.000 3.547" Properties=species:S:1:pos:R:3 pbc="T T T"
O 5.376 1.773 1.773
O 1.195 0.000 1.773
O 1.195 1.773 0.000
O 9.558 0.000 1.773
O 9.558 1.773 0.000
Sr 2.670 1.773 1.773
Sr 8.082 1.773 1.773
Nb 5.376 0.000 0.000
Nb 0.000 0.000 0.000
```

Calculated values
energy relative to the lowest polymorph listed for this composition	737	meV per atom


Material: SrNb2O6
Method: DFT, PBE-GGA
State: optimized geometry

Cell and atoms, written as extended XYZ:
```
18
Lattice="-0.215 -1.232 -5.155 4.697 0.513 2.410 -0.140 -10.259 2.457" Properties=species:S:1:pos:R:3 pbc="T T T"
O -0.096 -1.543 -1.676
O 1.708 -3.856 1.874
O 1.749 -0.888 1.164
O 1.598 -6.480 0.457
O 2.744 -4.498 -0.745
O 1.557 -9.449 1.168
O -0.219 -6.980 -1.732
O 2.808 -8.858 3.703
O -0.136 -4.511 -0.966
O 2.784 -1.530 -1.455
O 2.849 -5.890 2.993
O -0.260 -9.948 -1.022
Nb 1.422 -0.650 -2.633
Nb 2.989 -5.198 1.117
Nb 3.060 -0.069 -0.111
Nb 1.352 -5.780 -1.405
Sr -0.105 -7.695 1.843
Sr -0.035 -2.565 0.614
```

Calculated values
uncorrected energy	-8.47	eV/atom


Material: Sr4Nb4O11
Method: DFT, PBE-GGA
State: optimized geometry

Cell and atoms, written as extended XYZ:
```
19
Lattice="-5.006 0.801 2.646 -1.503 -5.384 -1.220 3.264 -2.481 6.926" Properties=species:S:1:pos:R:3 pbc="T T T"
O 1.765 -3.470 7.129
O -2.921 -5.605 1.707
O -2.482 -2.100 4.869
O -3.121 -3.804 7.123
O -3.957 -0.979 1.740
O -0.257 -1.461 6.613
O 0.731 -6.101 6.659
O -4.989 -3.623 1.265
O -0.787 -4.947 3.438
O 0.237 -2.308 3.886
O -3.505 -4.752 4.414
Nb -4.133 -3.127 5.459
Nb -0.876 -0.845 4.788
Nb -2.509 0.396 1.324
Nb -5.734 -1.910 2.063
Sr 0.949 -7.142 4.008
Sr -0.768 -4.063 5.921
Sr 0.776 -0.693 1.724
Sr -2.477 -3.007 2.428
```

Calculated values
energy relative to the lowest polymorph listed for this composition	0	meV per atom


Material: SrNb6O16
Method: DFT, PBE-GGA
State: optimized geometry

Cell and atoms, written as extended XYZ:
```
23
Lattice="0.703 -3.834 0.058 -1.934 -0.488 -8.841 8.833 1.638 1.198" Properties=species:S:1:pos:R:3 pbc="T T T"
O 0.601 0.039 -4.690
O 7.301 1.335 -0.231
O 6.410 1.129 -3.073
O 0.837 -1.927 -6.557
O 4.438 0.800 -0.888
O 3.539 0.592 -3.738
O 5.078 0.831 -6.640
O -1.525 -2.394 -8.758
O 8.428 -0.468 -2.099
O 2.353 0.331 -6.631
O 5.364 -1.069 -4.718
O 7.231 1.242 -5.546
O 2.084 0.385 0.156
O 5.858 -0.896 0.747
O 0.826 0.122 -1.931
O 3.028 -1.459 -2.130
Nb 0.311 -0.045 -6.748
Nb 5.537 1.027 0.740
Nb 8.780 1.627 1.149
Nb 2.850 0.495 -1.841
Nb 5.339 0.910 -4.598
Nb 8.101 1.454 -2.100
Sr 2.706 -1.558 -4.814
```

Calculated values
uncorrected energy	-8.75	eV/atom


Material: Sr2TmNbO6
Method: DFT, PBE-GGA
State: optimized geometry

Cell and atoms, written as extended XYZ:
```
20
Lattice="-5.799 -0.107 0.705 -0.199 -5.335 -2.444 0.971 -3.452 7.457" Properties=species:S:1:pos:R:3 pbc="T T T"
Sr -2.686 -0.994 2.187
Sr 0.606 -5.182 4.411
Sr -2.394 -7.901 3.538
Sr 0.114 -3.606 0.609
Nb -2.534 -4.447 2.862
Nb -0.020 0.000 0.002
O -2.180 -5.343 4.608
O -4.522 -1.447 0.002
O -4.962 -2.795 6.326
O -0.547 -4.698 7.040
O -4.023 -5.721 2.504
O -1.254 -5.724 2.021
O -5.660 -6.202 0.073
O -1.616 -4.143 -1.670
O -1.137 -3.121 3.377
O -3.939 -3.227 3.572
O -2.642 -3.548 1.085
O -3.669 -7.506 6.102
Tm -3.021 -2.721 -0.867
Tm 0.464 -1.726 3.731
```

Calculated values
uncorrected energy	-7.80	eV/atom


Material: Sr2YNbO6
Method: DFT, PBE-GGA
State: optimized geometry

Cell and atoms, written as extended XYZ:
```
20
Lattice="-0.550 -0.762 -5.729 -4.710 -3.429 0.908 -4.902 6.632 -0.378" Properties=species:S:1:pos:R:3 pbc="T T T"
O -6.247 5.128 -1.356
O -3.862 -0.559 -1.982
O -1.654 -0.972 -3.783
O -8.693 0.844 -4.629
O -8.507 3.413 -1.416
O -3.553 1.808 -4.131
O -4.103 2.528 -1.055
O -3.915 -2.687 -3.843
O -1.469 1.597 -0.570
O -6.300 3.000 -3.218
O -6.059 -0.087 -4.144
O -6.609 0.633 -1.068
Nb -3.001 2.554 -5.918
Nb -2.630 -2.096 -2.410
Sr -4.135 4.460 -3.060
Sr -3.934 -0.675 -5.354
Sr -6.228 3.116 0.155
Sr -6.026 -2.019 -2.140
Y -5.081 1.221 -2.600
Y 0.000 0.000 0.000
```

Calculated values
uncorrected energy	-8.02	eV/atom


Material: Sr3Nb2ZnO9
Method: DFT, PBE-GGA
State: optimized geometry

Cell and atoms, written as extended XYZ:
```
15
Lattice="-5.132 -2.497 0.051 3.933 -1.483 3.861 -2.379 4.978 4.335" Properties=species:S:1:pos:R:3 pbc="T T T"
O 1.626 -0.025 4.637
O -0.600 -1.990 1.956
O -2.669 2.257 3.585
O 1.967 -0.741 1.931
O -3.261 0.291 5.517
O -2.566 -1.248 0.025
O -0.910 -1.259 4.662
O -0.317 0.707 2.730
O -5.204 1.023 3.610
Sr -0.669 1.487 5.471
Sr -2.909 -0.488 2.776
Sr 0.000 0.000 0.000
Zn -1.189 2.489 2.168
Nb 0.485 -0.930 3.367
Nb -4.064 1.928 4.880
```

Calculated values
uncorrected energy	-7.39	eV/atom


Material: SrNb4Zn3O12
Method: DFT, PBE-GGA
State: optimized geometry

Cell and atoms, written as extended XYZ:
```
20
Lattice="4.684 4.689 1.035 -6.061 2.571 1.289 1.125 -5.219 4.061" Properties=species:S:1:pos:R:3 pbc="T T T"
O 2.127 3.976 1.749
O 1.526 1.150 1.977
O -2.378 -1.936 4.637
O -4.037 1.097 2.426
O -1.777 0.890 4.409
O -1.848 4.564 2.581
O -0.458 -0.905 2.555
O 3.786 0.944 3.960
O 1.061 0.301 4.709
O -1.312 1.739 1.677
O 1.596 -2.523 3.804
O 0.206 2.945 3.830
Nb 0.562 -2.610 2.031
Nb -0.126 1.020 3.193
Nb -3.030 1.285 0.645
Nb 2.342 2.345 0.518
Zn 2.905 -0.265 2.548
Zn -2.468 -1.324 2.675
Zn -0.688 3.630 1.162
Sr 0.000 0.000 0.000
```

Calculated values
uncorrected energy	-7.36	eV/atom


Material: TaNbO4
Method: DFT, PBE-GGA
State: optimized geometry

Cell and atoms, written as extended XYZ:
```
12
Lattice="6.612 -1.939 0.000 6.612 1.939 0.000 -2.503 0.000 6.354" Properties=species:S:1:pos:R:3 pbc="T T T"
O -0.605 0.000 6.272
O 10.712 0.000 4.275
O 8.815 0.000 2.202
O 1.906 0.000 4.152
O 6.800 0.000 4.238
O 11.327 0.000 0.082
O 0.010 0.000 2.079
O 3.922 0.000 2.116
Nb -0.460 0.000 4.172
Nb 11.182 0.000 2.182
Ta 1.889 0.000 1.713
Ta 8.833 0.000 4.642
```

Calculated values
uncorrected energy	-9.50	eV/atom


Material: Ta2NbO4
Method: DFT, PBE-GGA
State: optimized geometry

Cell and atoms, written as extended XYZ:
```
14
Lattice="4.454 -4.459 0.000 -4.454 0.000 -4.459 4.454 4.459 0.000" Properties=species:S:1:pos:R:3 pbc="T T T"
Nb 2.227 -2.229 -2.229
Nb 0.000 0.000 0.000
O 3.426 -1.029 -1.029
O 3.255 1.200 -3.258
O 1.199 3.258 -3.258
O 1.199 1.200 -1.200
O -1.028 1.029 -3.430
O 3.255 3.258 -1.200
O 5.481 1.029 -1.029
O 1.028 -1.029 -3.430
Ta -1.113 -1.115 -3.344
Ta 5.567 -1.115 -1.115
Ta 1.113 1.115 -3.344
Ta 3.340 1.115 -1.115
```

Calculated values
uncorrected energy	-9.18	eV/atom


Material: TaNbO4
Method: DFT, PBE-GGA
State: optimized geometry

Cell and atoms, written as extended XYZ:
```
12
Lattice="3.345 -5.291 0.000 3.345 5.291 0.000 -3.256 0.000 3.771" Properties=species:S:1:pos:R:3 pbc="T T T"
O 0.944 0.250 0.875
O 2.290 -2.947 2.437
O 3.918 2.947 0.551
O 4.119 0.250 1.010
O -0.484 -2.947 3.220
O -0.684 -0.250 2.760
O 1.144 2.947 1.334
O 2.491 -0.250 2.896
Ta 0.903 -4.215 2.828
Ta 2.531 4.215 0.943
Nb 2.531 -1.408 0.943
Nb 0.903 1.408 2.828
```

Calculated values
uncorrected energy	-9.34	eV/atom


Material: Tb2Nb2O5
Method: DFT, PBE-GGA
State: optimized geometry

Cell and atoms, written as extended XYZ:
```
9
Lattice="-3.276 2.791 5.508 2.647 -1.795 2.484 2.406 3.250 -0.216" Properties=species:S:1:pos:R:3 pbc="T T T"
O -1.143 1.204 5.388
O -1.263 3.726 4.039
O 0.888 2.123 3.888
O 0.393 2.315 1.254
O 0.514 -0.207 2.603
Tb -1.638 1.396 2.754
Tb 0.000 0.000 0.000
Nb -0.118 2.981 5.580
Nb 1.895 1.265 2.196
```

Calculated values
energy relative to the lowest polymorph listed for this composition	0	meV per atom


Material: Tb2Nb2O5
Method: DFT, PBE-GGA
State: optimized geometry

Cell and atoms, written as extended XYZ:
```
9
Lattice="-2.244 1.484 -9.483 2.409 -2.378 -0.942 -2.430 -2.532 0.179" Properties=species:S:1:pos:R:3 pbc="T T T"
O -1.491 -1.084 -1.076
O -3.183 0.036 -8.229
O -0.764 0.112 -8.789
O -1.133 -1.713 -5.123
O 0.929 -1.007 -1.636
Nb 0.000 0.000 0.000
Nb -1.122 0.742 -4.742
Tb -1.663 -1.362 -7.367
Tb -0.602 -2.064 -2.880
```

Calculated values
energy relative to the lowest polymorph listed for this composition	153	meV per atom


Material: Tb2NbO4
Method: DFT, PBE-GGA
State: optimized geometry

Cell and atoms, written as extended XYZ:
```
14
Lattice="4.692 -4.691 0.000 -4.692 0.000 -4.691 4.692 4.691 0.000" Properties=species:S:1:pos:R:3 pbc="T T T"
O -1.178 1.177 -3.514
O 1.168 1.169 -1.169
O 1.168 3.522 -3.522
O 5.870 1.177 -1.177
O 3.524 1.169 -3.522
O 3.515 -1.177 -1.177
O 1.178 -1.177 -3.514
O 3.524 3.522 -1.169
Tb 3.519 1.173 -1.173
Tb -1.173 -1.173 -3.518
Tb 1.173 1.173 -3.518
Tb 5.865 -1.173 -1.173
Nb 0.000 0.000 0.000
Nb 2.346 -2.345 -2.345
```

Calculated values
uncorrected energy	-8.15	eV/atom


Material: NbTc2O4
Method: DFT, PBE-GGA
State: optimized geometry

Cell and atoms, written as extended XYZ:
```
14
Lattice="-3.576 2.799 4.224 -1.242 0.661 -6.040 -0.974 -5.455 2.786" Properties=species:S:1:pos:R:3 pbc="T T T"
O -3.963 -2.545 0.534
O -1.799 -1.183 -2.945
O -3.363 -2.810 3.565
O -2.891 -0.168 2.216
O -1.158 -1.578 0.064
O -3.531 0.172 -0.899
O -2.231 -3.900 -1.512
O -1.630 -4.221 1.414
Tc -2.394 0.863 -2.598
Tc -2.260 -2.194 1.815
Tc -4.048 -0.795 3.927
Tc -2.881 -1.864 -1.205
Nb -3.547 1.066 0.844
Nb 0.000 0.000 0.000
```

Calculated values
uncorrected energy	-8.18	eV/atom


Material: NbTe2O6
Method: DFT, PBE-GGA
State: optimized geometry

Cell and atoms, written as extended XYZ:
```
18
Lattice="5.450 0.000 0.000 0.000 6.634 0.000 -5.372 0.000 7.481" Properties=species:S:1:pos:R:3 pbc="T T T"
O 1.072 4.922 3.041
O 1.692 1.604 0.699
O 3.342 6.212 1.926
O -1.703 4.341 3.827
O 1.781 2.294 3.653
O 0.983 5.611 0.087
O -0.905 1.023 7.394
O -0.578 2.894 1.815
O -3.264 0.423 5.555
O -0.994 1.713 4.440
O -1.614 5.030 6.782
O 0.656 3.740 5.666
Te 2.702 4.402 2.151
Te -2.624 2.232 5.329
Te 0.016 5.549 5.892
Te 0.062 1.085 1.589
Nb 0.039 3.317 3.740
Nb 2.725 0.000 0.000
```

Calculated values
uncorrected energy	-6.50	eV/atom


Material: Nb2Te2O7
Method: DFT, PBE-GGA
State: optimized geometry

Cell and atoms, written as extended XYZ:
```
22
Lattice="6.375 -3.351 0.981 0.793 -6.951 -1.970 4.130 -1.704 -5.733" Properties=species:S:1:pos:R:3 pbc="T T T"
O 6.035 -4.593 -1.052
O 3.066 -6.507 -2.621
O 8.231 -5.499 -4.101
O 3.164 -1.760 0.352
O 6.456 -8.289 -2.100
O 2.824 -3.002 -1.681
O 5.263 -7.413 -5.670
O 2.113 -0.989 -2.791
O 0.551 -3.445 -1.029
O 2.485 -4.243 -3.713
O 0.000 0.000 0.000
O 4.841 -3.717 -4.622
O 3.535 -5.014 -0.570
O 5.098 -2.558 -2.332
Nb 4.599 -3.176 -0.350
Nb 1.412 -1.501 -0.840
Nb 1.809 -4.976 -1.825
Nb 3.477 -2.353 -3.707
Te 4.996 -6.652 -1.335
Te 3.874 -5.828 -4.692
Te 7.061 -7.504 -4.201
Te 6.665 -4.028 -3.216
```

Calculated values
uncorrected energy	-7.02	eV/atom